[1]
The following is a PBE calculation of Ca3MnCu after structural relaxation, from Alexandria.

The space group is Pm-3m (No. 221) and the conventional cell measures 5.493, 5.493 and 5.493 Å, with angles of 90.00, 90.00 and 90.00 degrees. The asymmetric unit holds Ca at (0.000, 0.000, 0.500), Mn at (0.500, 0.500, 0.500) and Cu at (0.000, 0.000, 0.000).

The value obtained for the energy of formation from the pure elements is 394.6 meV/atom. Its energy above the most stable polymorph in this dataset is 0 meV per atom. For the raw total energy, the calculation gives -3.4595 eV per atom. The value obtained for the volume is 33.15 Å³/atom. As for the total magnetization: 0.90 μB per atom.

---

[2]
The following is a PBE calculation of Ca3MnCu after structural relaxation, from Alexandria.

The space group is Pm-3m (No. 221) and the conventional cell measures 5.406, 5.406 and 5.406 Å, with angles of 90.00, 90.00 and 90.00 degrees. The asymmetric unit holds Ca at (0.000, 0.000, 0.500), Mn at (0.000, 0.000, 0.000) and Cu at (0.500, 0.500, 0.500).

The value obtained for the energy of formation from the pure elements is 670.7 meV/atom. Its energy above the most stable polymorph in this dataset is 276 meV per atom. For the raw total energy, the calculation gives -3.1834 eV per atom. The value obtained for the volume is 31.59 Å³/atom. As for the total magnetization: 0.43 μB per atom.

---

[3]
The following is a PBE calculation of CaMnCu2 after structural relaxation, from Alexandria.

The space group is I4_1/amd (No. 141, origin choice 2) and the conventional cell measures 4.657, 4.657 and 16.860 Å, with angles of 90.00, 90.00 and 90.00 degrees. The asymmetric unit holds Ca at (0.000, 0.250, 0.375), Mn at (0.000, 0.250, 0.875) and Cu at (0.000, 0.000, 0.000).

The value obtained for the energy of formation from the pure elements is 394.1 meV/atom. For the raw total energy, the calculation gives -4.4468 eV per atom. The value obtained for the volume is 22.85 Å³/atom. As for the total magnetization: 1.00 μB per atom.

---

[4]
The following is a PBE calculation of Ca4MnCu after structural relaxation, from Alexandria.

The space group is F-43m (No. 216) and the conventional cell measures 9.330, 9.330 and 9.330 Å, with angles of 90.00, 90.00 and 90.00 degrees. The asymmetric unit holds Ca at (0.125, 0.125, 0.125), Mn at (0.000, 0.000, 0.500) and Cu at (0.250, 0.250, 0.750).

The value obtained for the energy of formation from the pure elements is 826.6 meV/atom. For the raw total energy, the calculation gives -2.7187 eV per atom. The value obtained for the volume is 33.84 Å³/atom. As for the total magnetization: 0.75 μB per atom.

---

[5]
The following is a PBE calculation of CaMnCu2 after structural relaxation, from Alexandria.

The space group is P4mm (No. 99) and the conventional cell measures 3.276, 3.276 and 6.660 Å, with angles of 90.00, 90.00 and 90.00 degrees. The asymmetric unit holds Ca at (0.000, 0.000, 0.000), Mn at (0.500, 0.500, 0.655), Cu at (0.000, 0.000, 0.472) and Cu at (0.500, 0.500, 0.285).

The value obtained for the energy of formation from the pure elements is 217.9 meV/atom. For the raw total energy, the calculation gives -4.6230 eV per atom. The value obtained for the volume is 17.87 Å³/atom. As for the total magnetization: 1.03 μB per atom.

---

[6]
The following is a PBE calculation of CaMnCu2 after structural relaxation, from Alexandria.

The space group is Fm-3m (No. 225) and the conventional cell measures 6.531, 6.531 and 6.531 Å, with angles of 90.00, 90.00 and 90.00 degrees. The asymmetric unit holds Ca at (0.000, 0.000, 0.000), Mn at (0.000, 0.000, 0.500) and Cu at (0.250, 0.250, 0.250).

The value obtained for the energy of formation from the pure elements is 200.6 meV/atom. For the raw total energy, the calculation gives -4.6402 eV per atom. The value obtained for the volume is 17.41 Å³/atom. As for the total magnetization: 0.99 μB per atom.

---

[7]
The following is a PBE calculation of CaMnCu2 after structural relaxation, from Alexandria.

The space group is F-43m (No. 216) and the conventional cell measures 6.453, 6.453 and 6.453 Å, with angles of 90.00, 90.00 and 90.00 degrees. The asymmetric unit holds Ca at (0.000, 0.000, 0.000), Mn at (0.250, 0.250, 0.750), Cu at (0.000, 0.000, 0.500) and Cu at (0.250, 0.250, 0.250).

The value obtained for the energy of formation from the pure elements is 303.2 meV/atom. For the raw total energy, the calculation gives -4.5376 eV per atom. The value obtained for the volume is 16.79 Å³/atom. As for the total magnetization: 0.94 μB per atom.

---

[8]
The following is a PBE calculation of CaMnCu2 after structural relaxation, from Alexandria.

The space group is C2/m (No. 12) and the conventional cell measures 7.396, 4.269 and 5.469 Å, with angles of 90.00, 116.62 and 90.00 degrees. The asymmetric unit holds Ca at (0.000, 0.000, 0.000), Mn at (0.000, 0.500, 0.500) and Cu at (0.194, 0.000, 0.584).

The value obtained for the energy of formation from the pure elements is 54.9 meV/atom. For the raw total energy, the calculation gives -4.7860 eV per atom. The value obtained for the volume is 19.29 Å³/atom. As for the total magnetization: 0.88 μB per atom.

---

[9]
The following is a PBE calculation of CaMnCu2 after structural relaxation, from Alexandria.

The space group is C2/m (No. 12) and the conventional cell measures 6.426, 6.425 and 3.307 Å, with angles of 90.00, 90.14 and 90.00 degrees. The asymmetric unit holds Ca at (0.000, 0.000, 0.000), Mn at (0.000, 0.500, 0.000) and Cu at (0.250, 0.250, 0.500).

The value obtained for the energy of formation from the pure elements is 239.1 meV/atom. For the raw total energy, the calculation gives -4.6018 eV per atom. The value obtained for the volume is 17.06 Å³/atom. As for the total magnetization: 0.91 μB per atom.

---

[10]
The following is a PBE calculation of CaMnCu3 after structural relaxation, from Alexandria.

The space group is Pm-3m (No. 221) and the conventional cell measures 4.634, 4.634 and 4.634 Å, with angles of 90.00, 90.00 and 90.00 degrees. The asymmetric unit holds Ca at (0.000, 0.000, 0.000), Mn at (0.500, 0.500, 0.500) and Cu at (0.000, 0.500, 0.500).

The value obtained for the energy of formation from the pure elements is 439.1 meV/atom. For the raw total energy, the calculation gives -4.2528 eV per atom. The value obtained for the volume is 19.90 Å³/atom. As for the total magnetization: 0.76 μB per atom.

---

[11]
The following is a PBE calculation of CaMnCu2 after structural relaxation, from Alexandria.

The space group is I-4m2 (No. 119) and the conventional cell measures 4.063, 4.063 and 8.214 Å, with angles of 90.00, 90.00 and 90.00 degrees. The asymmetric unit holds Ca at (0.000, 0.000, 0.000), Mn at (0.000, 0.500, 0.250), Cu at (0.000, 0.000, 0.500) and Cu at (0.000, 0.500, 0.750).

The value obtained for the energy of formation from the pure elements is 297.6 meV/atom. For the raw total energy, the calculation gives -4.5433 eV per atom. The value obtained for the volume is 16.94 Å³/atom. As for the total magnetization: 0.95 μB per atom.

---

[12]
The following is a PBE calculation of CaMnCu2 after structural relaxation, from Alexandria.

The space group is Pm (No. 6) and the conventional cell measures 3.313, 4.085 and 5.690 Å, with angles of 90.00, 106.73 and 90.00 degrees. The asymmetric unit holds Ca at (0.000, 0.000, 0.000), Mn at (0.294, 0.500, 0.591), Cu at (0.612, 0.500, 0.227) and Cu at (0.740, 0.000, 0.482).

The value obtained for the energy of formation from the pure elements is 203.3 meV/atom. For the raw total energy, the calculation gives -4.6375 eV per atom. The value obtained for the volume is 18.44 Å³/atom. As for the total magnetization: 1.02 μB per atom.

---

[13]
The following is a PBE calculation of CaMnCu2 after structural relaxation, from Alexandria.

The space group is Imm2 (No. 44) and the conventional cell measures 3.168, 4.654 and 9.430 Å, with angles of 90.00, 90.00 and 90.00 degrees. The asymmetric unit holds Ca at (0.000, 0.000, 0.000), Mn at (0.000, 0.500, 0.209), Cu at (0.000, 0.000, 0.478) and Cu at (0.000, 0.500, 0.772).

The value obtained for the energy of formation from the pure elements is 259.2 meV/atom. For the raw total energy, the calculation gives -4.5817 eV per atom. The value obtained for the volume is 17.38 Å³/atom. As for the total magnetization: 0.99 μB per atom.

---

[14]
The following is a PBE calculation of CaMnCu2Mo after structural relaxation, from Alexandria.

The space group is P4/mmm (No. 123) and the conventional cell measures 4.699, 4.699 and 4.311 Å, with angles of 90.00, 90.00 and 90.00 degrees. The asymmetric unit holds Ca at (0.000, 0.000, 0.000), Mn at (0.500, 0.500, 0.500), Cu at (0.000, 0.500, 0.500) and Mo at (0.500, 0.500, 0.000).

The value obtained for the energy of formation from the pure elements is 666.0 meV/atom. For the raw total energy, the calculation gives -5.3729 eV per atom. The value obtained for the volume is 19.04 Å³/atom. As for the total magnetization: 0.24 μB per atom.

---

[15]
The following is a PBE calculation of Ca2MnCuN after structural relaxation, from Alexandria.

The space group is P4/mmm (No. 123) and the conventional cell measures 4.989, 4.989 and 3.768 Å, with angles of 90.00, 90.00 and 90.00 degrees. The asymmetric unit holds Ca at (0.000, 0.500, 0.000), Mn at (0.000, 0.000, 0.500), Cu at (0.500, 0.500, 0.500) and N at (0.000, 0.000, 0.000).

The value obtained for the uncorrected formation energy is -0.330 eV/atom. For the raw total energy, the calculation gives -5.4486 eV per atom. The value obtained for the volume is 18.75 Å³/atom. As for the total magnetization: 0.60 μB per atom.

---

[16]
The following is a PBE calculation of Ca2MnCu3Ni12 after structural relaxation, from Alexandria.

The space group is R-3m (No. 166, hexagonal axes) and the conventional cell measures 5.9044, 5.9044 and 26.2338 Å, with angles of 90.00, 90.00 and 120.00 degrees. The asymmetric unit holds Ca at (0.0000, 0.0000, 0.1528), Mn at (0.0000, 0.0000, 0.5000), Cu at (0.0000, 0.5000, 0.0000), Ni at (0.0578, 0.5289, 0.0945) and Ni at (0.0719, 0.5360, 0.6152).

The value obtained for the energy of formation from the pure elements is 321.0 meV/atom. For the raw total energy, the calculation gives -4.9477 eV per atom. The value obtained for the volume is 14.67 Å³/atom. As for the total magnetization: 0.32 μB per atom.